No. 1
A geometry-optimized Ac3Tl3Zn2 structure. Source: Alexandria via LeMat-Bulk, functional PBE.

Computed properties:
The calculation puts the energy of formation at -0.3217 eV/atom.

a = 4.9502 Å, b = 11.8988 Å, c = 16.4838 Å
α = 90.00°, β = 90.00°, γ = 90.00°
Space group Cmcm (No. 63)
Inequivalent atoms, fractional coordinates:
Ac1 0.0000 0.0928 0.1072 x8
Ac2 0.0000 0.3694 0.2500 x4
Tl1 0.0000 0.3398 0.7500 x4
Tl2 0.0000 0.3756 0.0372 x8
Zn1 0.0000 0.2030 0.6038 x8

---

No. 2
A geometry-optimized YAuI2 structure. Source: Alexandria via LeMat-Bulk, functional PBE.

Computed properties:
The calculation puts the raw formation energy at -730.5 meV per atom. The energy relative to the lowest polymorph listed for this composition comes out at 0.000 eV per atom.

a = 10.9069 Å, b = 10.9069 Å, c = 5.7109 Å
α = 90.00°, β = 90.00°, γ = 90.00°
Space group I-42d (No. 122)
Inequivalent atoms, fractional coordinates:
Y1 0.0000 0.0000 0.0000 x4
Au1 0.0000 0.0000 0.5000 x4
I1 0.1037 0.2500 0.1250 x8

---

No. 3
A geometry-optimized BaGaCo structure. Source: Alexandria via LeMat-Bulk, functional PBE.

Computed properties:
The calculation puts the energy of formation at -0.1454 eV/atom.

a = 12.9434 Å, b = 4.1611 Å, c = 5.9822 Å
α = 90.00°, β = 102.71°, γ = 90.00°
Space group C2/m (No. 12)
Inequivalent atoms, fractional coordinates:
Ba1 0.1074 0.0000 0.3144 x4
Ga1 0.1207 0.5000 0.8063 x4
Co1 0.2159 0.0000 0.9099 x4

---

No. 4
A geometry-optimized KRbSnAu structure. Source: Alexandria via LeMat-Bulk, functional PBE.

Computed properties:
The calculation puts the energy of formation at -0.2334 eV/atom.

a = 4.9567 Å, b = 4.9567 Å, c = 22.5488 Å
α = 90.00°, β = 90.00°, γ = 120.00°
Space group R3m (No. 160, hexagonal axes)
Inequivalent atoms, fractional coordinates:
K1 0.0000 0.0000 0.0000 x3
Rb1 0.0000 0.0000 0.8089 x3
Sn1 0.0000 0.0000 0.2437 x3
Au1 0.0000 0.0000 0.5778 x3

---

No. 5
A geometry-optimized SrTc3F structure. Source: Alexandria via LeMat-Bulk, functional PBE.

Computed properties:
The calculation puts the raw formation energy at 1057.9 meV per atom. The energy relative to the lowest polymorph listed for this composition comes out at 0.000 eV per atom.

a = 4.4708 Å, b = 4.4708 Å, c = 4.4708 Å
α = 90.00°, β = 90.00°, γ = 90.00°
Space group Pm-3m (No. 221)
Inequivalent atoms, fractional coordinates:
Sr1 0.0000 0.0000 0.0000 x1
Tc1 0.0000 0.5000 0.5000 x3
F1 0.5000 0.5000 0.5000 x1

---

No. 6
A geometry-optimized CsPb3F structure. Source: Alexandria via LeMat-Bulk, functional PBE.

Computed properties:
The calculation puts the raw formation energy at 962.2 meV per atom.

a = 6.5029 Å, b = 6.5029 Å, c = 6.5029 Å
α = 90.00°, β = 90.00°, γ = 90.00°
Space group Pm-3m (No. 221)
Inequivalent atoms, fractional coordinates:
Cs1 0.0000 0.0000 0.0000 x1
Pb1 0.0000 0.0000 0.5000 x3
F1 0.5000 0.5000 0.5000 x1

---

No. 7
A geometry-optimized CaSmGa structure. Source: Alexandria via LeMat-Bulk, functional PBE.

Computed properties:
The energy relative to the lowest polymorph listed for this composition comes out at 0.089 eV per atom. The calculation puts the energy of formation at -0.3284 eV/atom.

a = 3.6186 Å, b = 3.6186 Å, c = 13.4413 Å
α = 90.00°, β = 90.00°, γ = 90.00°
Space group I4mm (No. 107)
Inequivalent atoms, fractional coordinates:
Ca1 0.0000 0.0000 0.0000 x2
Sm1 0.0000 0.0000 0.7278 x2
Ga1 0.0000 0.0000 0.3558 x2

---

No. 8
A geometry-optimized NaCa2H structure. Source: Alexandria via LeMat-Bulk, functional PBE.

Computed properties:
The energy relative to the lowest polymorph listed for this composition comes out at 0.000 eV per atom.

a = 7.2013 Å, b = 7.2013 Å, c = 9.3276 Å
α = 90.00°, β = 90.00°, γ = 90.00°
Space group I-42d (No. 122)
Inequivalent atoms, fractional coordinates:
Na1 0.0000 0.0000 0.0000 x4
Ca1 0.1054 0.2500 0.6250 x8
H1 0.0000 0.0000 0.5000 x4

---

The total magnetic moment results, record by record, are as follows: 0.00, 0.00, 0.84, 0.20, 4.31, 0.00, 0.00, 0.00 μB per formula unit.